[1]
! Na2CaGe, relaxed, DFT PBE-GGA; values from VASP
&SYSTEM
  ibrav = 0, nat = 4, ntyp = 3
/
ATOMIC_SPECIES
Na 22.99 Na.upf
Ge 72.64 Ge.upf
Ca 40.08 Ca.upf
ATOMIC_POSITIONS angstrom
Na 1.766 1.020 8.294
Na 5.298 3.059 3.583
Ge 3.532 2.039 5.939
Ca 0.000 0.000 0.000
CELL_PARAMETERS angstrom
3.532 0.000 0.000
1.766 3.059 0.000
1.766 1.020 11.877
! formation energy: 0.224 eV/atom
! Fermi-level density of states: 2.7 states/eV per cell
! raw total energy: -8.36 eV for the cell shown

[2]
! AcCeAgHg, relaxed, DFT PBE-GGA; values from VASP
&SYSTEM
  ibrav = 0, nat = 4, ntyp = 4
/
ATOMIC_SPECIES
Ag 107.87 Ag.upf
Ac 227.00 Ac.upf
Hg 200.59 Hg.upf
Ce 140.12 Ce.upf
ATOMIC_POSITIONS angstrom
Ag 8.279 4.780 3.380
Ac 5.519 3.187 2.253
Hg 2.760 1.593 1.127
Ce 0.000 0.000 0.000
CELL_PARAMETERS angstrom
5.519 0.000 0.000
2.760 4.780 0.000
2.760 1.593 4.507
! formation energy: -0.237 eV/atom
! Fermi-level density of states: 11.1 states/eV per cell
! raw total energy: -14.14 eV for the cell shown

[3]
! TiCr2Mo, relaxed, DFT PBE-GGA; values from VASP
&SYSTEM
  ibrav = 0, nat = 4, ntyp = 3
/
ATOMIC_SPECIES
Cr 52.00 Cr.upf
Mo 95.94 Mo.upf
Ti 47.87 Ti.upf
ATOMIC_POSITIONS angstrom
Cr 0.000 0.000 4.582
Cr 0.000 0.000 1.483
Mo 1.507 1.507 0.000
Ti 1.507 1.507 3.033
CELL_PARAMETERS angstrom
3.013 0.000 0.000
0.000 3.013 0.000
0.000 0.000 6.066
! formation energy: -0.021 eV/atom
! Fermi-level density of states: 3.4 states/eV per cell
! raw total energy: -38.06 eV for the cell shown

[4]
! NaCd2TeS4, relaxed, DFT PBE-GGA; values from VASP
&SYSTEM
  ibrav = 0, nat = 16, ntyp = 4
/
ATOMIC_SPECIES
Na 22.99 Na.upf
Cd 112.41 Cd.upf
Te 127.60 Te.upf
S 32.06 S.upf
ATOMIC_POSITIONS angstrom
Na 3.658 0.697 -1.170
Na 2.602 -6.047 -0.922
Cd -0.094 -3.403 -1.909
Cd -0.961 -3.342 2.157
Cd -0.868 0.062 4.066
Cd 3.564 -2.706 -3.079
Te 2.696 -2.644 0.987
Te -1.923 -6.683 4.314
S 5.648 -0.618 -2.632
S 0.849 -4.472 0.587
S 4.543 -0.816 1.387
S -0.256 -4.671 4.606
S 5.584 -4.279 -4.259
S 4.301 -3.710 -0.899
S 1.092 -1.578 2.873
S -0.192 -1.009 6.233
CELL_PARAMETERS angstrom
-0.188 -6.806 -3.817
7.315 1.395 -2.340
-1.735 0.123 8.131
! formation energy without anion corrections: -420.7 meV per atom
! Fermi-level density of states: 4.6 states/eV per cell
! raw total energy: -52.33 eV for the cell shown

[5]
! SrSeNO2, relaxed, DFT PBE-GGA; values from VASP
&SYSTEM
  ibrav = 0, nat = 5, ntyp = 4
/
ATOMIC_SPECIES
Sr 87.62 Sr.upf
O 16.00 O.upf
Se 78.96 Se.upf
N 14.01 N.upf
ATOMIC_POSITIONS angstrom
Sr 0.000 0.000 0.000
O 0.000 2.354 0.000
O 2.354 0.000 0.000
Se 2.354 2.354 2.597
N 0.000 0.000 2.597
CELL_PARAMETERS angstrom
4.708 0.000 0.000
0.000 4.708 0.000
0.000 0.000 5.193
! formation energy without anion corrections: 848.5 meV per atom
! Fermi-level density of states: 5.6 states/eV per cell
! raw total energy: -19.17 eV for the cell shown

[6]
! TmInCo2, relaxed, DFT PBE-GGA; values from VASP
&SYSTEM
  ibrav = 0, nat = 4, ntyp = 3
/
ATOMIC_SPECIES
Tm 168.93 Tm.upf
Co 58.93 Co.upf
In 114.82 In.upf
ATOMIC_POSITIONS angstrom
Tm -0.806 -2.101 0.458
Co -2.415 1.690 3.501
Co -0.874 0.612 1.267
In -2.450 -0.950 2.842
CELL_PARAMETERS angstrom
-2.582 -1.726 -0.948
0.970 -2.476 1.864
-3.288 2.302 4.768
! formation energy: -0.058 eV/atom
! Fermi-level density of states: 2.2 states/eV per cell
! raw total energy: -21.66 eV for the cell shown

[7]
! LaPm3Sc, relaxed, DFT PBE-GGA; values from VASP
&SYSTEM
  ibrav = 0, nat = 10, ntyp = 3
/
ATOMIC_SPECIES
La 138.91 La.upf
Pm 145.00 Pm.upf
Sc 44.96 Sc.upf
ATOMIC_POSITIONS angstrom
La -1.208 -2.617 -8.021
La 5.031 -1.771 5.573
Pm 0.959 0.139 -4.345
Pm 1.614 -3.907 -1.501
Pm 0.184 -3.335 -4.743
Pm 3.639 -1.053 2.295
Pm 2.864 -4.527 1.897
Pm 2.209 -0.481 -0.947
Sc 5.694 1.276 3.912
Sc -1.871 -5.664 -6.361
CELL_PARAMETERS angstrom
-1.479 -6.509 1.280
-1.442 -0.530 -9.547
6.744 2.652 5.819
! formation energy: 0.053 eV/atom
! Fermi-level density of states: 18.2 states/eV per cell
! raw total energy: -50.49 eV for the cell shown

[8]
! NaGe2Pt4, relaxed, DFT PBE-GGA; values from VASP
&SYSTEM
  ibrav = 0, nat = 14, ntyp = 3
/
ATOMIC_SPECIES
Na 22.99 Na.upf
Ge 72.64 Ge.upf
Pt 195.08 Pt.upf
ATOMIC_POSITIONS angstrom
Na 1.991 0.000 0.000
Na 0.000 3.922 3.922
Ge 0.000 1.800 6.044
Ge 0.000 6.044 1.800
Ge 1.991 5.722 5.722
Ge 1.991 2.122 2.122
Pt 0.000 0.619 2.602
Pt 0.000 7.225 5.242
Pt 1.991 1.320 4.541
Pt 1.991 6.523 3.303
Pt 1.991 3.303 6.523
Pt 1.991 4.541 1.320
Pt 0.000 2.602 0.619
Pt 0.000 5.242 7.225
CELL_PARAMETERS angstrom
3.982 0.000 0.000
0.000 7.844 0.000
0.000 0.000 7.844
! formation energy: -0.470 eV/atom
! Fermi-level density of states: 6.0 states/eV per cell
! raw total energy: -76.02 eV for the cell shown

[9]
! CrNiIr, relaxed, DFT PBE-GGA; values from VASP
&SYSTEM
  ibrav = 0, nat = 3, ntyp = 3
/
ATOMIC_SPECIES
Cr 52.00 Cr.upf
Ir 192.22 Ir.upf
Ni 58.69 Ni.upf
ATOMIC_POSITIONS angstrom
Cr 0.014 0.005 0.000
Ir 3.444 1.193 0.000
Ni 6.710 2.325 0.000
CELL_PARAMETERS angstrom
5.696 -0.004 0.000
4.473 3.527 0.000
-5.084 -1.762 1.869
! formation energy: -0.032 eV/atom
! Fermi-level density of states: 4.1 states/eV per cell
! raw total energy: -24.36 eV for the cell shown